The following is a DFT calculation (PBE) of an optimized crystal structure of ScNi2Ir.

Computed properties:
E_form in eV/atom: -0.277
Space-group type: F-43m

Cell lengths 4.294, 4.294, 4.294 Å; angles 60.00, 60.00, 60.00 degrees
Element x y z (fractional)
Sc (0.000, 0.000, 0.000)
Ni (0.250, 0.250, 0.250)
Ni (0.500, 0.500, 0.500)
Ir (0.750, 0.750, 0.750)